(1)
K3Pu2TiTe6: optimized geometry, PBE.

Structure (POSCAR):
```
K3Pu2TiTe6
1.0
3.8264 -6.6311 0.0000
3.8264 6.6311 0.0000
-2.5665 0.0000 8.2164
K Pu Ti Te
3 2 1 6
Cartesian
0.0000 0.0000 0.0000 K
3.8264 2.2940 0.0000 K
3.8264 -2.2940 0.0000 K
2.5432 4.4299 4.1082 Pu
2.5432 -4.4299 4.1082 Pu
2.5432 0.0000 4.1082 Ti
1.3564 2.0637 2.4448 Te
0.1679 0.0000 5.7852 Te
1.3564 -2.0637 2.4448 Te
3.7299 2.0637 5.7716 Te
4.9184 0.0000 2.4311 Te
3.7299 -2.0637 5.7716 Te
```

Output
Symmetry: No. 12
Formation energy (no corrections) (eV per atom): -1.010

---

(2)
Zr2Be2AlRh5: optimized geometry, PBE.

Structure (POSCAR):
```
Zr2Be2AlRh5
1.0
9.3672 0.0000 0.0000
0.0000 9.3672 0.0000
0.0000 0.0000 3.2233
Zr Be Al Rh
4 4 2 10
Cartesian
1.6452 3.0384 0.0000 Zr
3.0384 7.7220 0.0000 Zr
6.3288 1.6452 0.0000 Zr
7.7220 6.3288 0.0000 Zr
1.1444 5.8280 0.0000 Be
3.5392 1.1444 0.0000 Be
5.8280 8.2228 0.0000 Be
8.2228 3.5392 0.0000 Be
0.0000 0.0000 0.0000 Al
4.6836 4.6836 0.0000 Al
0.0000 4.6836 1.6117 Rh
0.6518 7.4005 1.6117 Rh
1.9668 0.6518 1.6117 Rh
2.7168 5.3354 1.6117 Rh
4.0318 2.7168 1.6117 Rh
4.6836 0.0000 1.6117 Rh
5.3354 6.6504 1.6117 Rh
6.6504 4.0318 1.6117 Rh
7.4005 8.7154 1.6117 Rh
8.7154 1.9668 1.6117 Rh
```

Output
ΔE_f (meV per atom): -894
Symmetry: No. 127

---

(3)
NaThReO6: optimized geometry, PBE.

Structure (POSCAR):
```
NaThReO6
1.0
5.0965 0.0000 0.0000
0.0000 5.0965 0.0000
0.0000 0.0000 10.0937
Na Th Re O
2 2 2 12
Cartesian
0.0000 0.0000 0.0000 Na
2.5482 2.5482 5.0469 Na
0.0000 0.0000 6.7024 Th
2.5482 2.5482 1.6556 Th
0.0000 0.0000 3.3300 Re
2.5482 2.5482 8.3768 Re
0.9008 0.9008 4.7238 O
0.9571 0.9571 1.9555 O
1.2141 1.2141 8.2749 O
1.3342 3.7623 3.2281 O
1.5911 3.5054 7.0024 O
1.6475 3.4490 9.7706 O
3.4490 1.6475 9.7706 O
3.5054 1.5911 7.0024 O
3.7623 1.3342 3.2281 O
3.8824 3.8824 8.2749 O
4.1393 4.1393 1.9555 O
4.1957 4.1957 4.7238 O
```

Output
Symmetry: No. 102
Formation energy (no corrections) (eV per atom): -2.308

---

(4)
HfSbWI2: optimized geometry, PBE.

Structure (POSCAR):
```
HfSbWI2
1.0
5.5082 0.0000 0.0000
0.0000 5.5082 0.0000
0.0000 0.0000 5.7865
Hf Sb W I
1 1 1 2
Cartesian
0.0000 0.0000 0.0000 Hf
0.0000 0.0000 2.8932 Sb
2.7541 2.7541 2.8932 W
0.0000 2.7541 0.0000 I
2.7541 0.0000 0.0000 I
```

Output
Symmetry: No. 123
Energy relative to the lowest polymorph listed for this composition (eV/f.u.): 0.00
Formation energy (no corrections) (eV per atom): 1.216

---

(5)
NaBiPb: optimized geometry, PBE.

Structure (POSCAR):
```
NaBiPb
1.0
8.9738 0.0000 0.0000
0.0000 5.7231 0.0000
-4.3537 0.0000 7.9708
Na Bi Pb
4 4 4
Cartesian
-0.6223 0.0230 2.8388 Na
-2.7991 2.8386 6.8242 Na
7.4193 2.8845 1.1466 Na
5.2424 5.7001 5.1320 Na
-0.4701 2.8823 4.4961 Bi
1.7067 5.7023 0.5107 Bi
2.9134 0.0208 7.4601 Bi
5.0902 2.8408 3.4747 Bi
-0.1546 0.0156 6.2543 Pb
2.0222 2.8460 2.2689 Pb
2.5979 2.8771 5.7019 Pb
4.7747 5.7075 1.7165 Pb
```

Output
ΔE_f (meV per atom): -154
Symmetry: No. 14
Energy relative to the lowest polymorph listed for this composition (eV/f.u.): 0.15

---

(6)
Zn2Ga2Bi: optimized geometry, PBE.

Structure (POSCAR):
```
Zn2Ga2Bi
1.0
8.0252 0.0000 0.0000
0.0000 8.0252 0.0000
0.0000 0.0000 3.2020
Zn Ga Bi
4 4 2
Cartesian
1.4259 2.5867 0.0000 Zn
2.5867 6.5993 0.0000 Zn
5.4385 1.4259 0.0000 Zn
6.5993 5.4385 0.0000 Zn
0.9913 5.0039 1.6010 Ga
3.0213 0.9913 1.6010 Ga
5.0039 7.0339 1.6010 Ga
7.0339 3.0213 1.6010 Ga
0.0000 0.0000 1.6010 Bi
4.0126 4.0126 1.6010 Bi
```

Output
ΔE_f (meV per atom): 136
Symmetry: No. 127
Energy relative to the lowest polymorph listed for this composition (eV/f.u.): 0.35

---

Question: What is the formula in the second record?
Answer: Zr2Be2AlRh5